Entry 1:
Entry from OQMD via LeMat-Bulk: an optimized crystal structure of LuAu (GGA-PBE).

Summary:
- Calculated formation energy: -0.2784 eV per atom
- Total DFT energy (no corrections): -4.174 eV per atom
- SG: F-43m

The structure in extended XYZ format:
```
2
Lattice="-0.9103 -4.1101 -1.5271 -3.8705 -0.8000 -2.1054 -0.0289 -0.7958 -4.4067" Properties=species:S:1:pos:R:3 pbc="T T T"
Lu -1.2024 -1.4265 -2.0098
Au 0.0000 0.0000 0.0000
```

=====

Entry 2:
Entry from OQMD via LeMat-Bulk: an optimized crystal structure of LiGaAgSn (GGA-PBE).

Summary:
- Total DFT energy (no corrections): -3.070 eV per atom
- SG: F-43m
- Distance to the lowest polymorph of the same formula: 0.0 meV per atom

The structure in extended XYZ format:
```
4
Lattice="0.0000 3.3820 3.3820 3.3820 0.0000 3.3820 3.3820 3.3820 0.0000" Properties=species:S:1:pos:R:3 pbc="T T T"
Li 5.0730 5.0730 5.0730
Sn 3.3820 3.3820 3.3820
Ga 0.0000 0.0000 0.0000
Ag 1.6910 1.6910 1.6910
```

=====

Entry 3:
Entry from OQMD via LeMat-Bulk: an optimized crystal structure of TlTcAgSe2S (GGA-PBE).

Summary:
- Total DFT energy (no corrections): -4.624 eV per atom
- SG: P2_1/m
- Distance to the lowest polymorph of the same formula: 0.0 meV per atom

The structure in extended XYZ format:
```
12
Lattice="-1.8647 -4.0282 6.7256 1.0902 -3.1574 -1.5889 9.4433 3.1041 0.3111" Properties=species:S:1:pos:R:3 pbc="T T T"
Se 4.9503 -4.0220 4.9308
Se 3.7186 -0.0595 0.5170
Se 7.5679 -0.8179 4.6654
Se 1.1010 -3.2636 0.7824
Tc 5.0741 -1.5007 4.3111
Tc 3.5948 -2.5808 1.1368
Tl 7.2082 0.5982 1.6045
Tl 1.4606 -4.6798 3.8434
S 5.8070 -2.2942 2.0852
S 2.8619 -1.7873 3.3627
Ag 7.4077 -3.4272 5.4350
Ag 1.2612 -0.6543 0.0128
```

=====

Entry 4:
Entry from OQMD via LeMat-Bulk: an optimized crystal structure of Nd2As2IrPdO2 (GGA-PBE).

Summary:
- Total DFT energy (no corrections): -7.128 eV per atom
- SG: P-4m2

The structure in extended XYZ format:
```
8
Lattice="-3.6546 -0.7423 1.8977 1.5526 -3.5382 1.6060 2.5701 4.1027 6.5542" Properties=species:S:1:pos:R:3 pbc="T T T"
O 1.2851 2.0514 3.2771
O 0.2341 -0.0889 5.0290
Ir -1.0510 -2.1402 1.7519
Nd -0.8924 1.1212 3.3329
Nd 2.4116 0.8413 4.9732
As 0.3203 3.0571 6.4255
As 1.1989 -1.0946 1.8805
Pd 0.0000 0.0000 0.0000
```

=====

Entry 5:
Entry from OQMD via LeMat-Bulk: an optimized crystal structure of CuNiSnW (GGA-PBE).

Summary:
- Total DFT energy (no corrections): -6.138 eV per atom
- SG: F-43m
- Distance to the lowest polymorph of the same formula: 0.0 meV per atom

The structure in extended XYZ format:
```
4
Lattice="0.0598 -0.4984 4.3481 -3.4652 1.2022 2.3885 -2.5175 -3.0416 1.8890" Properties=species:S:1:pos:R:3 pbc="T T T"
Sn 0.0000 0.0000 0.0000
W -2.9614 -1.1689 4.3128
Ni -1.4807 -0.5845 2.1564
Cu -4.4421 -1.7534 6.4692
```

=====

Entry 6:
Entry from OQMD via LeMat-Bulk: an optimized crystal structure of Hf5CoSb3 (GGA-PBE).

Summary:
- Total DFT energy (no corrections): -8.184 eV per atom
- SG: P6_3/mcm

The structure in extended XYZ format:
```
18
Lattice="8.5707 0.0000 0.0000 -4.2854 7.4225 0.0000 0.0000 0.0000 5.7201" Properties=species:S:1:pos:R:3 pbc="T T T"
Sb -2.6041 4.5104 1.4300
Sb 5.2082 0.0000 1.4300
Sb 3.3626 0.0000 4.2901
Sb -1.6813 2.9121 4.2901
Sb 1.6813 2.9121 1.4300
Sb 2.6041 4.5104 4.2901
Co 0.0000 0.0000 2.8601
Co 0.0000 0.0000 0.0000
Hf 4.2854 2.4742 2.8601
Hf 0.0000 4.9483 0.0000
Hf -1.0708 1.8548 1.4300
Hf 0.0000 4.9483 2.8601
Hf -3.2145 5.5677 4.2901
Hf 4.2854 2.4742 0.0000
Hf 2.1417 0.0000 1.4300
Hf 3.2145 5.5677 1.4300
Hf 1.0708 1.8548 4.2901
Hf 6.4291 0.0000 4.2901
```